## BaDyTm4S8 (PBE)

Data for a relaxed BaDyTm4S8 crystal.

abc: 8.1436 8.1436 20.0798
angles: 90.00 90.00 120.00
Space group R3m (No. 160, hexagonal axes)
Unique sites:
Ba (0.0000, 0.0000, 0.0000)
Dy (0.0000, 0.0000, 0.6281)
Tm (0.0000, 0.0000, 0.2512)
Tm (0.1691, 0.3381, 0.4587)
S (0.0000, 0.0000, 0.3833)
S (0.0000, 0.0000, 0.8570)
S (0.0476, 0.5238, 0.3835)
S (0.1751, 0.3501, 0.2060)

The calculation puts the density at 5322 kg/m3. The uncorrected energy is -254.2 eV/cell. The calculation puts the total magnetization at 0.00 Bohr magnetons per cell.